Entry 1:
Entry from the Alexandria database: Rb2Sn4GeAu3 after structural relaxation (GGA-PBE).

Energy of formation, eV per formula unit: -2.4

Unit cell a=4.9060 b=4.9060 c=11.5627 alpha=90.00 beta=90.00 gamma=90.00
Space group P-4m2 (No. 115)
One atom of each set of equivalent atoms:
Rb: 0.0000 0.5000 0.2445 x2
Sn: 0.0000 0.0000 0.5000 x1
Sn: 0.0000 0.5000 0.8736 x2
Sn: 0.5000 0.5000 0.5000 x1
Ge: 0.5000 0.5000 0.0000 x1
Au: 0.0000 0.0000 0.0000 x1
Au: 0.0000 0.5000 0.6292 x2

Entry 2:
Entry from the Alexandria database: TbGa2Si after structural relaxation (GGA-PBE).

ΔE_f (raw), eV per atom: -0.43
E above lowest polymorph, kJ/mol of formula units: 0

Unit cell a=4.2067 b=4.2067 c=4.3088 alpha=90.00 beta=90.00 gamma=90.00
Space group P4/mmm (No. 123)
One atom of each set of equivalent atoms:
Tb: 0.0000 0.0000 0.0000 x1
Ga: 0.0000 0.5000 0.5000 x2
Si: 0.5000 0.5000 0.0000 x1

Entry 3:
Entry from the Alexandria database: Ca2MnCu after structural relaxation (GGA-PBE).

Energy of formation, eV per formula unit: 0.8
E above lowest polymorph, kJ/mol of formula units: 13

Unit cell a=3.4699 b=3.4699 c=8.2993 alpha=90.00 beta=90.00 gamma=90.00
Space group P4mm (No. 99)
One atom of each set of equivalent atoms:
Ca: 0.0000 0.0000 0.0000 x1
Ca: 0.5000 0.5000 0.3796 x1
Mn: 0.5000 0.5000 0.7387 x1
Cu: 0.0000 0.0000 0.6293 x1

So what do the calculations give for electronic total energy? Going down the list: -3.480, -4.460, -4.118 eV per atom.